Entry 1:
# HoErMg2

A geometry-optimized HoErMg2 structure (PBE-GGA, Alexandria).

* energy of formation: -72 meV per atom
* SG: P4/mmm, No. 123
* total moment: 0.00 μB per formula unit

Structure (CIF):
```
data_HoErMg2
_chemical_formula_sum 'Ho1 Er1 Mg2'
_cell_length_a 3.7676
_cell_length_b 3.7676
_cell_length_c 7.5485
_cell_angle_alpha 90.00
_cell_angle_beta 90.00
_cell_angle_gamma 90.00
_space_group_name_H-M_alt 'P 1'
_space_group_IT_number 1
loop_
_space_group_symop_operation_xyz
'x,y,z'
loop_
_atom_site_label
_atom_site_type_symbol
_atom_site_fract_x
_atom_site_fract_y
_atom_site_fract_z
Ho1 Ho 0.0000 0.0000 0.0000
Er1 Er 0.0000 0.0000 0.5000
Mg1 Mg 0.5000 0.5000 0.2508
Mg2 Mg 0.5000 0.5000 0.7492
```


Entry 2:
# Ho12Er5Mg

A geometry-optimized Ho12Er5Mg structure (PBE-GGA, Alexandria).

* energy of formation: 399 meV per atom
* SG: C2/m, No. 12
* total moment: 0.00 μB per formula unit

Structure (CIF):
```
data_Ho12Er5Mg
_chemical_formula_sum 'Ho12 Er5 Mg1'
_cell_length_a 6.6992
_cell_length_b 6.6992
_cell_length_c 13.4264
_cell_angle_alpha 100.25
_cell_angle_beta 100.25
_cell_angle_gamma 98.80
_space_group_name_H-M_alt 'P 1'
_space_group_IT_number 1
loop_
_space_group_symop_operation_xyz
'x,y,z'
loop_
_atom_site_label
_atom_site_type_symbol
_atom_site_fract_x
_atom_site_fract_y
_atom_site_fract_z
Ho1 Ho 0.0236 0.6937 0.6748
Ho2 Ho 0.0634 0.3836 0.8391
Ho3 Ho 0.3063 0.9764 0.3252
Ho4 Ho 0.3092 0.3092 0.1547
Ho5 Ho 0.3549 0.3549 0.6611
Ho6 Ho 0.3836 0.0634 0.8391
Ho7 Ho 0.6164 0.9366 0.1609
Ho8 Ho 0.6451 0.6451 0.3389
Ho9 Ho 0.6908 0.6908 0.8453
Ho10 Ho 0.6937 0.0236 0.6748
Ho11 Ho 0.9366 0.6164 0.1609
Ho12 Ho 0.9764 0.3063 0.3252
Er1 Er 0.0000 0.0000 0.5000
Er2 Er 0.1673 0.8327 0.0000
Er3 Er 0.3276 0.6724 0.5000
Er4 Er 0.6724 0.3276 0.5000
Er5 Er 0.8327 0.1673 0.0000
Mg1 Mg 0.5000 0.5000 0.0000
```


Entry 3:
# Ho2Er7Mg

A geometry-optimized Ho2Er7Mg structure (PBE-GGA, Alexandria).

* energy of formation: 691 meV per atom
* SG: Cmmm, No. 65
* total moment: 0.00 μB per formula unit

Structure (CIF):
```
data_Ho2Er7Mg
_chemical_formula_sum 'Ho2 Er7 Mg1'
_cell_length_a 9.2092
_cell_length_b 9.2092
_cell_length_c 5.2934
_cell_angle_alpha 90.00
_cell_angle_beta 90.00
_cell_angle_gamma 124.19
_space_group_name_H-M_alt 'P 1'
_space_group_IT_number 1
loop_
_space_group_symop_operation_xyz
'x,y,z'
loop_
_atom_site_label
_atom_site_type_symbol
_atom_site_fract_x
_atom_site_fract_y
_atom_site_fract_z
Ho1 Ho 0.2054 0.7946 0.0000
Ho2 Ho 0.7946 0.2054 0.0000
Er1 Er 0.0000 0.0000 0.0000
Er2 Er 0.2150 0.4296 0.0000
Er3 Er 0.2991 0.7009 0.5000
Er4 Er 0.4296 0.2150 0.0000
Er5 Er 0.5704 0.7850 0.0000
Er6 Er 0.7009 0.2991 0.5000
Er7 Er 0.7850 0.5704 0.0000
Mg1 Mg 0.5000 0.5000 0.5000
```


Quick rundown of N(E_F), same order as above: 1.30; 1.90; 1.15 states/eV per atom